Entry from Alexandria via LeMat-Bulk: an optimized crystal structure of YTe2WF (GGA+U).

The calculation puts the energy at -21.66 eV per cell. For the calculated volume, the calculation gives 154 Å³/f.u. The density of states at the Fermi level is 1.73 states/eV per cell.

The space group is P4/mmm (No. 123) and the conventional cell measures 5.1900, 5.1900 and 5.7098 Å, with angles of 90.00, 90.00 and 90.00 degrees. The inequivalent atoms are Y at (0.0000, 0.0000, 0.0000), Te at (0.0000, 0.5000, 0.5000), W at (0.0000, 0.0000, 0.5000) and F at (0.5000, 0.5000, 0.0000).